Entry 1:
A relaxed Mn2CN2 crystal, computed with PBE.

The structure in CIF format:
```
data_Mn2CN2
_chemical_formula_sum 'Mn4 C2 N4'
_cell_length_a 5.627
_cell_length_b 5.627
_cell_length_c 2.495
_cell_angle_alpha 90.00
_cell_angle_beta 90.00
_cell_angle_gamma 90.00
_space_group_name_H-M_alt 'P 4/m b m'
_space_group_IT_number 127
_space_group_name_Hall '-P 4 2ab'
loop_
_atom_site_label
_atom_site_fract_x
_atom_site_fract_y
_atom_site_fract_z
Mn1 0.166 0.334 0.000
C1 0.000 0.000 0.500
N1 0.141 0.641 0.500
```

DOS(E_F)	10.442	states/eV/cell
calculated total energy	-7.590	eV/atom
M_tot	0.000	μB per cell

Entry 2:
A relaxed Mn2CN2 crystal, computed with PBE.

The structure in CIF format:
```
data_Mn2CN2
_chemical_formula_sum 'Mn4 C2 N4'
_cell_length_a 3.594
_cell_length_b 3.594
_cell_length_c 6.052
_cell_angle_alpha 90.00
_cell_angle_beta 90.00
_cell_angle_gamma 90.00
_space_group_name_H-M_alt 'I 4/m m m'
_space_group_IT_number 139
_space_group_name_Hall '-I 4 2'
loop_
_atom_site_label
_atom_site_fract_x
_atom_site_fract_y
_atom_site_fract_z
Mn1 0.000 0.500 0.250
C1 0.000 0.000 0.000
N1 0.000 0.000 0.389
```

DOS(E_F)	9.190	states/eV/cell
calculated total energy	-8.097	eV/atom
M_tot	0.000	μB per cell

Entry 3:
A relaxed MnC8N6 crystal, computed with PBE.

The structure in CIF format:
```
data_MnC8N6
_chemical_formula_sum 'Mn2 C16 N12'
_cell_length_a 7.125
_cell_length_b 5.095
_cell_length_c 10.239
_cell_angle_alpha 90.00
_cell_angle_beta 90.00
_cell_angle_gamma 90.00
_space_group_name_H-M_alt 'P m n a'
_space_group_IT_number 53
loop_
_space_group_symop_operation_xyz
'x,y,z'
'-x,-y,-z'
'-x+1/2,-y,z+1/2'
'x+1/2,y,-z+1/2'
'x,-y,-z'
'-x,y,z'
'-x+1/2,y,-z+1/2'
'x+1/2,-y,z+1/2'
loop_
_atom_site_label
_atom_site_fract_x
_atom_site_fract_y
_atom_site_fract_z
Mn1 0.000 0.000 0.000
C1 0.000 0.378 0.241
C2 0.000 0.427 0.662
C3 0.167 0.312 0.616
N1 0.000 0.222 0.156
N2 0.201 0.205 0.926
```

DOS(E_F)	3.460	states/eV/cell
calculated total energy	-8.480	eV/atom
M_tot	2.007	μB per cell